1.
Rb3ThTe4 after structural relaxation, computed with PBE.

```
Rb3ThTe4
1.0
10.609 0.000 0.000
0.000 14.420 0.000
0.000 0.000 4.746
Rb Th Te
6 2 8
Direct
0.000 0.000 0.000
0.250 0.250 0.500
0.250 0.750 0.500
0.500 0.500 0.000
0.750 0.250 0.500
0.750 0.750 0.500
0.000 0.500 0.000
0.500 0.000 0.000
0.000 0.285 0.000
0.000 0.715 0.000
0.202 0.500 0.500
0.298 0.000 0.500
0.500 0.215 0.000
0.500 0.785 0.000
0.702 0.000 0.500
0.798 0.500 0.500
```

symmetry: Cmmm
crystal system: orthorhombic
ρ: 4.57 g cm⁻³
raw formation energy: -8.19 eV/f.u.
raw total energy: -62.2 eV per cell



2.
KMgRu2 after structural relaxation, computed with PBE.

```
KMgRu2
1.0
8.272 0.000 0.000
0.000 2.864 0.000
-0.498 0.000 7.879
K Mg Ru
2 2 4
Direct
0.000 0.000 0.000
0.500 0.500 0.000
0.273 0.500 0.380
0.773 0.000 0.380
0.005 0.500 0.578
0.243 0.000 0.683
0.505 0.000 0.578
0.743 0.500 0.683
```

symmetry: Cm
crystal system: monoclinic
ρ: 4.72 g cm⁻³
raw total energy: -38.5 eV per cell
energy relative to the elements: 0.50 eV per atom



3.
K2PmRu3O12 after structural relaxation, computed with PBE.

```
K2PmRu3O12
1.0
3.691 2.131 5.196
-3.691 2.131 5.196
0.000 -4.262 5.196
K Pm Ru O
2 1 3 12
Direct
0.096 0.096 0.096
0.904 0.904 0.904
0.500 0.500 0.500
0.000 0.500 0.500
0.500 0.000 0.500
0.500 0.500 0.000
0.035 0.648 0.648
0.243 0.243 0.620
0.243 0.620 0.243
0.352 0.352 0.965
0.352 0.965 0.352
0.380 0.757 0.757
0.620 0.243 0.243
0.648 0.035 0.648
0.648 0.648 0.035
0.757 0.380 0.757
0.757 0.757 0.380
0.965 0.352 0.352
```

symmetry: R-3m
crystal system: trigonal
ρ: 4.86 g cm⁻³
raw formation energy: -22.41 eV/f.u.
raw total energy: -116.7 eV per cell